CaPm4Tl2 (PBE, relaxed); energy of formation = -0.140 eV/atom; M_tot = 0.00 μB per cell; DOS(E_F) = 1.188 states/eV per atom
1.0
6.527 0.000 0.000
1.648 8.557 0.000
2.521 -0.431 8.352
Ca Pm Tl
2 8 4
Direct
0.000 0.000 0.000
0.437 0.893 0.227
0.169 0.305 0.217
0.256 0.154 0.589
0.409 0.521 0.522
0.553 0.820 0.746
0.556 0.248 0.837
0.807 0.105 0.451
0.920 0.700 0.346
0.946 0.549 0.923
0.062 0.843 0.653
0.373 0.598 0.028
0.670 0.331 0.183
0.884 0.441 0.595

SmEr4Se5 (PBE, relaxed); formation energy without anion corrections = -1.712 eV/atom; M_tot = 0.00 μB per cell; DOS(E_F) = 0.445 states/eV per atom
1.0
-2.029 2.029 14.435
2.029 -2.029 14.435
2.029 2.029 -14.435
Sm Er Se
1 4 5
Direct
0.000 0.000 0.000
0.205 0.205 0.000
0.403 0.403 0.000
0.597 0.597 0.000
0.795 0.795 0.000
0.104 0.104 0.000
0.303 0.303 0.000
0.500 0.500 0.000
0.697 0.697 0.000
0.896 0.896 0.000

LuNbFeOs (PBE, relaxed); energy of formation = -0.151 eV/atom; M_tot = 0.00 μB per cell; DOS(E_F) = 0.376 states/eV per atom
1.0
0.000 3.207 3.207
3.207 0.000 3.207
3.207 3.207 0.000
Lu Nb Fe Os
1 1 1 1
Direct
0.000 0.000 0.000
0.500 0.500 0.500
0.750 0.750 0.750
0.250 0.250 0.250

Ba2ZnCr (PBE, relaxed); energy of formation = 0.346 eV/atom; M_tot = 4.46 μB per cell; DOS(E_F) = 1.243 states/eV per atom
1.0
4.151 -4.159 0.000
4.151 4.159 0.000
0.000 0.000 4.103
Ba Zn Cr
2 1 1
Direct
0.000 0.500 0.000
0.500 0.000 0.000
0.000 0.000 0.500
0.500 0.500 0.500

KHPtO2 (PBE, relaxed); energy = -4.952 eV per atom; M_tot = 0.00 μB per cell
1.0
3.226 0.000 0.000
0.000 4.938 0.000
-0.036 0.000 4.557
K H Pt O
1 1 1 2
Direct
0.000 0.000 0.000
0.500 0.000 0.500
0.000 0.500 0.500
0.500 0.243 0.500
0.500 0.757 0.500

BaTlAu2 (PBE, relaxed); energy of formation = -0.514 eV/atom; M_tot = 0.00 μB per cell; DOS(E_F) = 0.433 states/eV per atom
1.0
8.595 0.000 0.000
0.000 4.799 0.000
0.000 0.000 11.349
Ba Tl Au
4 4 8
Direct
0.152 0.250 0.141
0.348 0.750 0.641
0.652 0.250 0.359
0.848 0.750 0.859
0.021 0.750 0.398
0.479 0.250 0.898
0.521 0.750 0.102
0.979 0.250 0.602
0.139 0.250 0.826
0.248 0.750 0.935
0.252 0.250 0.435
0.361 0.750 0.326
0.639 0.250 0.674
0.748 0.750 0.565
0.752 0.250 0.065
0.861 0.750 0.174

PrTm2Ir9 (PBE, relaxed); energy of formation = -0.579 eV/atom; M_tot = 0.00 μB per cell; DOS(E_F) = 1.106 states/eV per atom
1.0
2.666 1.539 8.725
-2.666 1.539 8.725
0.000 -3.078 8.725
Pr Tm Ir
1 2 9
Direct
0.000 0.000 0.000
0.140 0.140 0.140
0.860 0.860 0.860
0.083 0.583 0.583
0.333 0.333 0.333
0.417 0.417 0.917
0.417 0.917 0.417
0.500 0.500 0.500
0.583 0.083 0.583
0.583 0.583 0.083
0.667 0.667 0.667
0.917 0.417 0.417

CsDyGeI6 (PBE, relaxed); formation energy without anion corrections = -1.084 eV/atom; M_tot = 0.00 μB per cell; DOS(E_F) = 0.000 states/eV per atom
1.0
7.863 0.000 0.000
-3.931 6.810 0.000
0.000 0.000 8.712
Cs Dy Ge I
1 1 1 6
Direct
0.000 0.000 0.000
0.667 0.333 0.500
0.333 0.667 0.500
0.001 0.372 0.701
0.001 0.629 0.299
0.371 0.372 0.299
0.371 0.999 0.701
0.628 0.629 0.701
0.628 0.999 0.299

Zr3AlCo (PBE, relaxed); energy of formation = 0.080 eV/atom; M_tot = 0.00 μB per cell; energy relative to the lowest polymorph listed for this composition = 0 meV per atom; DOS(E_F) = 1.320 states/eV per atom
1.0
4.802 0.000 0.000
0.000 4.802 0.000
0.000 0.000 4.802
Zr Al Co
3 1 1
Direct
0.000 0.000 0.500
0.000 0.500 0.000
0.500 0.000 0.000
0.500 0.500 0.500
0.000 0.000 0.000

Ba4Mg3Hg (PBE, relaxed); energy of formation = -0.173 eV/atom; M_tot = 0.00 μB per cell; DOS(E_F) = 0.728 states/eV per atom
1.0
4.279 0.000 0.000
0.000 4.279 0.000
0.000 0.000 17.636
Ba Mg Hg
4 3 1
Direct
0.000 0.000 0.116
0.000 0.000 0.373
0.000 0.000 0.627
0.000 0.000 0.884
0.500 0.500 0.248
0.500 0.500 0.500
0.500 0.500 0.752
0.500 0.500 0.000

AlRe2 (PBE, relaxed); energy of formation = -0.088 eV/atom; M_tot = 0.00 μB per cell; DOS(E_F) = 0.892 states/eV per atom
1.0
2.810 0.000 0.000
-1.405 2.434 0.000
0.000 0.000 6.565
Al Re
1 2
Direct
0.000 0.000 0.000
0.333 0.667 0.340
0.667 0.333 0.660

AlVI (PBE, relaxed); formation energy without anion corrections = 0.388 eV/atom; M_tot = 2.03 μB per cell; DOS(E_F) = 0.833 states/eV per atom
1.0
12.880 0.000 0.000
0.000 1.696 2.937
0.000 -1.696 2.937
Al V I
2 2 2
Direct
0.138 0.000 0.000
0.862 0.000 0.000
0.000 0.333 0.333
0.500 0.332 0.332
0.353 0.665 0.665
0.647 0.665 0.665

Question: Which value of M_tot does entry 8 give?
Answer: 0.00 μB per cell

Question: Look up the M_tot of the third one.
Answer: 0.00 μB per cell

Question: Which value of M_tot does entry 11 give?
Answer: 0.00 μB per cell

Question: Which of these has the highest M_tot?
Answer: Ba2ZnCr